*one*
! OsCIN2 PBE relaxed; values from VASP
! V in Å³ per cell: 83.1
&SYSTEM
  ibrav = 0, nat = 5, ntyp = 4
/
ATOMIC_SPECIES
C 12.01 C.upf
N 14.01 N.upf
I 126.90 I.upf
Os 190.23 Os.upf
CELL_PARAMETERS angstrom
3.755 0.000 0.000
0.000 3.755 0.000
0.000 0.000 5.894
ATOMIC_POSITIONS angstrom
C 1.877 1.877 2.947
N 0.000 1.877 0.000
I 0.000 0.000 2.947
Os 0.000 0.000 0.000
N 1.877 0.000 0.000

*two*
! OsCIN2 PBE relaxed; values from VASP
! V in Å³ per cell: 60.2
&SYSTEM
  ibrav = 0, nat = 5, ntyp = 4
/
ATOMIC_SPECIES
C 12.01 C.upf
Os 190.23 Os.upf
I 126.90 I.upf
N 14.01 N.upf
CELL_PARAMETERS angstrom
-2.403 -0.337 -2.873
-2.612 -1.353 2.344
-1.407 3.950 0.713
ATOMIC_POSITIONS angstrom
C 0.000 0.000 0.000
Os -3.211 1.130 0.092
I -0.703 1.975 0.357
N -1.202 -0.169 -1.437
N -1.306 -0.677 1.172

Result of the stability comparison: *two* is the least stable of them.

*one*
! PbCIN2 PBE relaxed; values from VASP
! V in Å³ per cell: 133.0
&SYSTEM
  ibrav = 0, nat = 5, ntyp = 4
/
ATOMIC_SPECIES
I 126.90 I.upf
Pb 207.20 Pb.upf
N 14.01 N.upf
C 12.01 C.upf
CELL_PARAMETERS angstrom
-2.724 3.345 -1.086
-0.866 -1.969 -3.894
-5.148 -3.282 2.805
ATOMIC_POSITIONS angstrom
I -2.574 -1.641 1.402
Pb 0.000 0.000 0.000
N -0.433 -0.985 -1.947
N -1.362 1.672 -0.543
C -4.369 -0.953 -1.087

*two*
! PbCIN2 PBE relaxed; values from VASP
! V in Å³ per cell: 112.2
&SYSTEM
  ibrav = 0, nat = 5, ntyp = 4
/
ATOMIC_SPECIES
N 14.01 N.upf
C 12.01 C.upf
I 126.90 I.upf
Pb 207.20 Pb.upf
CELL_PARAMETERS angstrom
4.346 0.000 0.000
0.000 4.346 0.000
0.000 0.000 5.942
ATOMIC_POSITIONS angstrom
N 2.173 0.000 0.000
N 0.000 2.173 0.000
C 0.000 0.000 0.000
I 0.000 0.000 2.971
Pb 2.173 2.173 2.971

Result of the stability comparison: *one* is the least stable of them.

*one*
! PdCIN2 PBE relaxed; values from VASP
! V in Å³ per cell: 98.4
&SYSTEM
  ibrav = 0, nat = 5, ntyp = 4
/
ATOMIC_SPECIES
C 12.01 C.upf
N 14.01 N.upf
I 126.90 I.upf
Pd 106.42 Pd.upf
CELL_PARAMETERS angstrom
3.527 0.000 0.000
0.000 3.527 0.000
0.000 0.000 7.908
ATOMIC_POSITIONS angstrom
C 0.000 0.000 0.000
N 1.764 0.000 0.000
N 0.000 1.764 0.000
I 0.000 0.000 3.954
Pd 1.764 1.764 3.954

*two*
! PdCIN2 PBE relaxed; values from VASP
! V in Å³ per cell: 123.3
&SYSTEM
  ibrav = 0, nat = 5, ntyp = 4
/
ATOMIC_SPECIES
I 126.90 I.upf
C 12.01 C.upf
N 14.01 N.upf
Pd 106.42 Pd.upf
CELL_PARAMETERS angstrom
-1.429 -2.340 -2.536
-2.015 -1.662 2.670
-6.628 5.653 -1.482
ATOMIC_POSITIONS angstrom
I -3.314 2.827 -0.741
C -5.036 0.825 -0.674
N -1.007 -0.831 1.335
Pd 0.000 0.000 0.000
N -0.715 -1.170 -1.268

*three*
! PdCIN2 PBE relaxed; values from VASP
! V in Å³ per cell: 71.3
&SYSTEM
  ibrav = 0, nat = 5, ntyp = 4
/
ATOMIC_SPECIES
Pd 106.42 Pd.upf
C 12.01 C.upf
I 126.90 I.upf
N 14.01 N.upf
CELL_PARAMETERS angstrom
4.056 0.000 0.000
0.000 4.337 0.000
0.000 0.000 4.056
ATOMIC_POSITIONS angstrom
Pd 0.000 0.000 0.000
C 0.000 2.168 0.000
I 2.028 2.168 2.028
N 2.028 0.000 0.000
N 0.000 0.000 2.028

Result of the stability comparison: *two* is the least stable of them.

*one*
! RbCI2N PBE relaxed; values from VASP
! V in Å³ per cell: 262.9
&SYSTEM
  ibrav = 0, nat = 5, ntyp = 4
/
ATOMIC_SPECIES
C 12.01 C.upf
I 126.90 I.upf
Rb 85.47 Rb.upf
N 14.01 N.upf
CELL_PARAMETERS angstrom
-5.248 -4.330 -0.871
3.194 -2.787 -5.392
2.485 -3.692 3.380
ATOMIC_POSITIONS angstrom
C 0.216 -5.404 -1.442
I 1.597 -1.393 -2.696
Rb 0.000 0.000 0.000
I -2.624 -2.165 -0.435
N 1.243 -1.846 1.690

*two*
! RbCI2N PBE relaxed; values from VASP
! V in Å³ per cell: 142.0
&SYSTEM
  ibrav = 0, nat = 5, ntyp = 4
/
ATOMIC_SPECIES
I 126.90 I.upf
Rb 85.47 Rb.upf
C 12.01 C.upf
N 14.01 N.upf
CELL_PARAMETERS angstrom
6.976 0.000 0.000
0.000 6.976 0.000
0.000 0.000 2.919
ATOMIC_POSITIONS angstrom
I 0.000 3.488 0.000
Rb 3.488 3.488 1.459
I 3.488 0.000 0.000
C 0.000 0.000 0.000
N 0.000 0.000 1.459

Result of the stability comparison: *one* is the least stable of them.

*one*
! RbCIN2 PBE relaxed; values from VASP
! V in Å³ per cell: 101.7
&SYSTEM
  ibrav = 0, nat = 5, ntyp = 4
/
ATOMIC_SPECIES
C 12.01 C.upf
N 14.01 N.upf
I 126.90 I.upf
Rb 85.47 Rb.upf
CELL_PARAMETERS angstrom
4.643 0.000 0.000
0.000 4.643 0.000
0.000 0.000 4.716
ATOMIC_POSITIONS angstrom
C 0.000 0.000 0.000
N 0.000 2.321 0.000
I 0.000 0.000 2.358
Rb 2.321 2.321 2.358
N 2.321 0.000 0.000

*two*
! RbCIN2 PBE relaxed; values from VASP
! V in Å³ per cell: 221.6
&SYSTEM
  ibrav = 0, nat = 5, ntyp = 4
/
ATOMIC_SPECIES
N 14.01 N.upf
Rb 85.47 Rb.upf
C 12.01 C.upf
I 126.90 I.upf
CELL_PARAMETERS angstrom
-1.472 -3.506 4.013
-1.374 -3.773 -3.801
6.753 -2.635 0.175
ATOMIC_POSITIONS angstrom
N -0.736 -1.753 2.006
N -0.687 -1.886 -1.900
Rb 0.000 0.000 0.000
C 1.954 -4.957 0.194
I 3.376 -1.317 0.087

Result of the stability comparison: *two* is the least stable of them.

*one*
! RuCIN2 PBE relaxed; values from VASP
! V in Å³ per cell: 82.7
&SYSTEM
  ibrav = 0, nat = 5, ntyp = 4
/
ATOMIC_SPECIES
N 14.01 N.upf
Ru 101.07 Ru.upf
C 12.01 C.upf
I 126.90 I.upf
CELL_PARAMETERS angstrom
-1.410 3.412 0.614
-2.768 -1.507 2.019
3.294 0.484 4.876
ATOMIC_POSITIONS angstrom
N -0.705 1.706 0.307
N -1.384 -0.753 1.010
Ru 0.000 0.000 0.000
C -0.442 1.195 3.755
I 1.647 0.242 2.438

*two*
! RuCIN2 PBE relaxed; values from VASP
! V in Å³ per cell: 60.3
&SYSTEM
  ibrav = 0, nat = 5, ntyp = 4
/
ATOMIC_SPECIES
N 14.01 N.upf
C 12.01 C.upf
Ru 101.07 Ru.upf
I 126.90 I.upf
CELL_PARAMETERS angstrom
-2.064 -1.932 2.451
1.811 -3.135 -0.946
2.926 0.764 3.067
ATOMIC_POSITIONS angstrom
N -1.032 -0.966 1.225
C 0.000 0.000 0.000
N 0.905 -1.567 -0.473
Ru 1.336 -2.151 2.286
I 1.463 0.382 1.534

Result of the stability comparison: *two* is the least stable of them.

*one*
! SbCI2N PBE relaxed; values from VASP
! V in Å³ per cell: 175.1
&SYSTEM
  ibrav = 0, nat = 5, ntyp = 4
/
ATOMIC_SPECIES
N 14.01 N.upf
I 126.90 I.upf
Sb 121.76 Sb.upf
C 12.01 C.upf
CELL_PARAMETERS angstrom
8.117 0.000 0.000
0.000 8.117 0.000
0.000 0.000 2.657
ATOMIC_POSITIONS angstrom
N 0.000 0.000 1.328
I 0.000 4.059 0.000
I 4.059 0.000 0.000
Sb 4.059 4.059 1.328
C 0.000 0.000 0.000

*two*
! SbCI2N PBE relaxed; values from VASP
! V in Å³ per cell: 129.4
&SYSTEM
  ibrav = 0, nat = 5, ntyp = 4
/
ATOMIC_SPECIES
C 12.01 C.upf
I 126.90 I.upf
N 14.01 N.upf
Sb 121.76 Sb.upf
CELL_PARAMETERS angstrom
5.302 0.000 0.000
0.000 5.302 0.000
0.000 0.000 4.604
ATOMIC_POSITIONS angstrom
C 0.000 0.000 0.000
I 0.000 2.651 0.000
I 2.651 0.000 0.000
N 2.651 2.651 2.302
Sb 0.000 0.000 2.302

*three*
! SbCI2N PBE relaxed; values from VASP
! V in Å³ per cell: 145.2
&SYSTEM
  ibrav = 0, nat = 5, ntyp = 4
/
ATOMIC_SPECIES
I 126.90 I.upf
N 14.01 N.upf
C 12.01 C.upf
Sb 121.76 Sb.upf
CELL_PARAMETERS angstrom
6.063 0.000 0.000
0.000 6.063 0.000
0.000 0.000 3.950
ATOMIC_POSITIONS angstrom
I 3.031 0.000 0.000
N 0.000 0.000 1.975
I 0.000 3.031 0.000
C 3.031 3.031 1.975
Sb 0.000 0.000 0.000

Result of the stability comparison: *three* is the least stable of them.